## Sr3CuSe (PBE)

Data for crystalline Sr3CuSe at its relaxed geometry.

**E above lowest polymorph**: 0 meV/atom
**M_tot**: 0.0 μB/f.u.
**Crystal system**: cubic
**DOS at the Fermi energy**: 5.47 states/eV per cell
**Total energy**: -14.6 eV/cell
**Raw formation energy**: -400 meV/atom

a = 5.911 Å, b = 5.911 Å, c = 5.911 Å
α = 90.00°, β = 90.00°, γ = 90.00°
Atoms (fractional coordinates):
Sr1 0.000 0.500 0.000
Sr2 0.000 0.000 0.500
Sr3 0.500 0.000 0.000
Cu1 0.500 0.500 0.500
Se1 0.000 0.000 0.000